Density functional theory data (PBE-GGA) for Bi3SbSe after structural relaxation.

Unit cell a=5.5799 b=5.5799 c=5.5799 alpha=90.00 beta=90.00 gamma=90.00
With the nearest neighbours (Å) after each atom.
Fractional coordinates of all 5 atoms:
Bi 0.0000 0.0000 0.5000  2 Se 2.79
Bi 0.5000 0.0000 0.0000  2 Se 2.79
Bi 0.0000 0.5000 0.0000  2 Se 2.79
Sb 0.5000 0.5000 0.5000  12 Bi 3.95
Se 0.0000 0.0000 0.0000  6 Bi 2.79

Computed properties:
Calculated density = 7.911 g/cm³
Polymorph energy (0 for the lowest one) = 0 kJ/mol of formula units
DFT total energy = -3.310 eV per atom
Formation energy from raw total energies = 2.70 eV/f.u.